Below is a geometry-optimized NpMoO5 structure, with properties calculated at the PBE+U level.

Summary:
**M_tot**: 6.0 μB per cell
**Fermi-level density of states**: 0.40 states/eV/atom
**DFT total energy**: -59.36 eV per formula unit

a = 7.4582 Å, b = 8.1136 Å, c = 4.1382 Å
α = 90.00°, β = 115.08°, γ = 90.00°
Space group C2/m (No. 12)
Unique sites:
Np 0.0000 0.0000 0.0000 x2
Mo 0.0000 0.5000 0.0000 x2
O 0.0000 0.0000 0.5000 x2
O 0.0000 0.2705 0.0000 x4
O 0.2082 0.5000 0.7788 x4